Record 1
Density functional theory data (GGA-PBE) for Eu2CuPt after structural relaxation.

Structure (POSCAR):
```
Eu2CuPt
1.0
-0.832 3.177 2.542
-3.234 2.487 -0.775
-6.748 -3.553 5.626
Eu Cu Pt
2 1 1
Direct
0.106 0.106 0.681
0.894 0.894 0.319
0.000 0.000 0.000
0.500 0.500 0.500
```

* density of states at the Fermi level: 22.340 states/eV/f.u.
* crystal system: trigonal
* total magnetic moment: 14.24 μB per formula unit
* E_form: -0.061 eV per atom

---

Record 2
Density functional theory data (GGA-PBE) for Sm4TlSbN after structural relaxation.

Structure (POSCAR):
```
Sm4TlSbN
1.0
-0.648 -2.385 -6.383
-6.278 -2.286 1.491
-2.821 8.303 0.854
Sm Tl Sb N
8 2 2 2
Direct
0.911 0.250 0.823
0.410 0.750 0.820
0.089 0.750 0.177
0.590 0.250 0.180
0.500 0.500 0.500
0.000 0.000 0.500
0.500 0.000 0.500
0.000 0.500 0.500
0.109 0.250 0.218
0.891 0.750 0.782
0.608 0.750 0.217
0.392 0.250 0.783
0.247 0.750 0.493
0.753 0.250 0.507
```

* density of states at the Fermi level: 4.414 states/eV/f.u.
* raw total energy: -79.593 eV for the cell shown
* crystal system: orthorhombic
* total magnetic moment: 0.00 μB per formula unit

---

Record 3
Density functional theory data (GGA-PBE) for NaZrSnRh after structural relaxation.

Structure (POSCAR):
```
NaZrSnRh
1.0
4.708 0.000 0.000
2.354 4.078 0.000
2.354 1.359 3.844
Na Rh Sn Zr
1 1 1 1
Direct
0.750 0.750 0.750
0.250 0.250 0.250
0.500 0.500 0.500
0.000 0.000 0.000
```

* crystal system: cubic
* total magnetic moment: 0.00 μB per formula unit
* E_form: -0.415 eV per atom

---

Record 4
Density functional theory data (GGA-PBE) for Mg3Zr3C after structural relaxation.

Structure (POSCAR):
```
Mg3Zr3C
1.0
7.926 0.000 4.576
2.642 7.472 4.576
0.000 0.000 9.152
Mg Zr C
12 12 4
Direct
0.836 0.836 0.836
0.414 0.414 0.757
0.414 0.757 0.414
0.757 0.414 0.414
0.836 0.493 0.836
0.493 0.836 0.836
0.836 0.836 0.493
0.414 0.414 0.414
0.625 0.625 0.625
0.625 0.625 0.125
0.625 0.125 0.625
0.125 0.625 0.625
0.073 0.427 0.073
0.177 0.177 0.823
0.823 0.823 0.177
0.823 0.177 0.823
0.823 0.177 0.177
0.177 0.823 0.823
0.427 0.073 0.073
0.073 0.073 0.427
0.427 0.427 0.073
0.073 0.427 0.427
0.177 0.823 0.177
0.427 0.073 0.427
0.125 0.125 0.125
0.125 0.125 0.625
0.125 0.625 0.125
0.625 0.125 0.125
```

* density of states at the Fermi level: 6.557 states/eV/f.u.
* crystal system: cubic
* total magnetic moment: 0.51 μB per formula unit
* E_form: -0.188 eV per atom

---

Number 1: ρ 6.82 Mg/m³. Number 2: ρ 8.22 Mg/m³. Number 3: ρ 7.56 Mg/m³. Number 4: ρ 4.39 Mg/m³.